No. 1
{"formula": "TaZn2Re", "functional": "GGA-PBE", "state": "optimized geometry", "m_tot_mub_per_fu": 0.000, "formation_enthalpy_0k_ev_per_fu": 0.68, "dft_energy_ev_per_cell": -26.17, "dos_at_fermi_per_ev_cell": 3.08, "cell": [[9.436, 0.006, 0.004], [9.019, 2.777, 0.004], [9.019, 1.360, 2.421]], "species": ["Re", "Ta", "Zn", "Zn"], "fractional_positions": [[0.503, 0.503, 0.503], [0.750, 0.750, 0.750], [0.997, 0.997, 0.997], [0.250, 0.250, 0.250]]}

=====

No. 2
{"formula": "PaTcMo2", "functional": "GGA-PBE", "state": "optimized geometry", "m_tot_mub_per_fu": 0.000, "formation_enthalpy_0k_ev_per_fu": 0.48, "dft_energy_ev_per_cell": -41.05, "dos_at_fermi_per_ev_cell": 6.10, "cell": [[4.627, 0.000, 0.000], [2.314, 4.007, 0.000], [2.314, 1.336, 3.778]], "species": ["Mo", "Mo", "Pa", "Tc"], "fractional_positions": [[0.250, 0.250, 0.250], [0.750, 0.750, 0.750], [0.000, 0.000, 0.000], [0.500, 0.500, 0.500]]}

=====

No. 3
{"formula": "LaZn2Os", "functional": "GGA-PBE", "state": "optimized geometry", "m_tot_mub_per_fu": 0.000, "formation_enthalpy_0k_ev_per_fu": 0.12, "dft_energy_ev_per_cell": -18.59, "dos_at_fermi_per_ev_cell": 1.55, "cell": [[-2.285, -3.293, -3.157], [3.585, -3.219, -1.678], [-1.215, 1.411, 4.750]], "species": ["La", "Os", "Zn", "Zn"], "fractional_positions": [[0.250, 0.750, 0.500], [0.750, 0.250, 0.500], [0.000, 0.000, 0.000], [0.500, 0.500, 0.000]]}

=====

No. 4
{"formula": "Co3GeS", "functional": "GGA-PBE", "state": "optimized geometry", "m_tot_mub_per_fu": 3.459, "dft_energy_ev_per_cell": -24.88, "dos_at_fermi_per_ev_cell": 6.35, "cell": [[-2.364, -3.171, -1.837], [3.589, -1.563, -1.921], [0.738, -2.553, 3.457]], "species": ["Ge", "Co", "Co", "Co", "S"], "fractional_positions": [[0.000, 0.000, 0.000], [0.000, 0.500, 0.000], [0.000, 0.000, 0.500], [0.500, 0.000, 0.000], [0.500, 0.500, 0.500]]}